Record 1
Here is an optimized crystal structure of La2Pm6Nd3 from Alexandria via LeMat-Bulk. Energies are from PBE.

Computed properties:
**Energy above the most stable polymorph in this dataset**: 0.000 eV per atom
**Energy of formation from the pure elements**: 0.14 eV/atom

Cell lengths 6.016, 11.683, 11.394 Å; angles 90.00, 98.06, 90.00 degrees
Space group C2/m (No. 12)
Unique sites:
La 0.000 0.140 0.000 (multiplicity 4)
Pm 0.066 0.343 0.221 (multiplicity 8)
Pm 0.086 0.000 0.267 (multiplicity 4)
Nd 0.000 0.178 0.500 (multiplicity 4)
Nd 0.000 0.500 0.500 (multiplicity 2)

=====

Record 2
Here is an optimized crystal structure of La5PmNd from Alexandria via LeMat-Bulk. Energies are from PBE.

Computed properties:
**Energy of formation from the pure elements**: 0.12 eV/atom

Cell lengths 12.191, 7.059, 12.788 Å; angles 90.00, 112.28, 90.00 degrees
Space group C2/c (No. 15)
Unique sites:
La 0.000 0.089 0.250 (multiplicity 4)
La 0.076 0.231 0.000 (multiplicity 8)
La 0.222 0.126 0.755 (multiplicity 8)
Pm 0.250 0.250 0.500 (multiplicity 4)
Nd 0.000 0.468 0.750 (multiplicity 4)

=====

Record 3
Here is an optimized crystal structure of LaPm7Nd4 from Alexandria via LeMat-Bulk. Energies are from PBE.

Computed properties:
**Energy above the most stable polymorph in this dataset**: 0.000 eV per atom
**Energy of formation from the pure elements**: 0.01 eV/atom

Cell lengths 6.412, 7.388, 9.161 Å; angles 90.07, 103.57, 90.01 degrees
Space group P-1 (No. 2)
Unique sites:
La 0.000 0.000 0.000 (multiplicity 1)
Pm 0.000 0.500 0.000 (multiplicity 1)
Pm 0.221 0.000 0.668 (multiplicity 2)
Pm 0.279 0.250 0.333 (multiplicity 2)
Pm 0.500 0.250 0.000 (multiplicity 2)
Nd 0.220 0.500 0.668 (multiplicity 2)
Nd 0.280 0.750 0.333 (multiplicity 2)

=====

Record 4
Here is an optimized crystal structure of La2PmNd6 from Alexandria via LeMat-Bulk. Energies are from PBE.

Computed properties:
**Energy above the most stable polymorph in this dataset**: 0.000 eV per atom
**Energy of formation from the pure elements**: 0.16 eV/atom

Cell lengths 3.499, 10.463, 17.670 Å; angles 90.00, 90.00, 90.00 degrees
Space group Immm (No. 71)
Unique sites:
La 0.000 0.000 0.167 (multiplicity 4)
Pm 0.000 0.000 0.500 (multiplicity 2)
Nd 0.000 0.186 0.334 (multiplicity 8)
Nd 0.000 0.189 0.000 (multiplicity 4)

=====

no.,V (Å³/atom),total magnetization (μB per cell)
1,36.04,0.00
2,36.37,0.00
3,35.16,0.00
4,35.94,0.00